Record 1
PBE-GGA NaLi2Ru6O12, optimized geometry; energy relative to the elements, uncorrected = -1.130 eV/atom; space group = P-1 (2); distance to the lowest polymorph of the same formula = 0 meV per atom
1.0
5.615 -0.004 0.004
-0.119 9.496 0.002
-2.703 -4.760 8.203
Na Li Ru O
2 4 12 24
direct
0.755 0.983 0.007
0.245 0.017 0.993
0.948 0.337 0.670
0.052 0.663 0.330
0.459 0.336 0.667
0.541 0.664 0.333
0.826 0.335 0.358
0.174 0.665 0.642
0.282 0.344 0.361
0.718 0.656 0.639
0.859 0.362 0.019
0.141 0.638 0.981
0.406 0.356 0.020
0.594 0.644 0.980
0.523 0.985 0.340
0.477 0.015 0.660
0.069 0.976 0.340
0.931 0.024 0.660
0.180 0.120 0.594
0.820 0.880 0.406
0.665 0.143 0.594
0.335 0.857 0.406
0.423 0.829 0.098
0.577 0.171 0.902
0.930 0.796 0.098
0.070 0.204 0.902
0.745 0.898 0.725
0.255 0.102 0.275
0.215 0.902 0.697
0.785 0.098 0.303
0.479 0.298 0.203
0.521 0.702 0.797
0.959 0.275 0.174
0.041 0.725 0.826
0.142 0.413 0.552
0.858 0.587 0.448
0.636 0.401 0.526
0.364 0.599 0.474
0.314 0.449 0.863
0.686 0.551 0.137
0.809 0.474 0.875
0.191 0.526 0.125

Record 2
PBE-GGA Rb4Pu3MnTe8, optimized geometry; energy relative to the elements, uncorrected = -0.911 eV/atom; space group = C2/m (12)
1.0
-2.324 4.551 -7.498
-8.985 -4.299 0.176
2.617 4.572 7.454
Rb Pu Mn Te
4 3 1 8
direct
0.500 0.000 0.000
0.500 0.000 0.500
0.000 0.000 0.000
0.000 0.000 0.500
0.500 0.500 0.000
0.500 0.500 0.500
0.000 0.500 0.500
0.000 0.500 0.000
0.220 0.689 0.968
0.226 0.692 0.453
0.266 0.298 0.532
0.748 0.689 0.968
0.252 0.311 0.032
0.734 0.702 0.468
0.774 0.308 0.547
0.780 0.311 0.032

Record 3
PBE-GGA VOsBr2, optimized geometry; energy relative to the elements, uncorrected = 1.127 eV/atom; space group = Fm-3m (225); distance to the lowest polymorph of the same formula = 478 meV per atom
1.0
0.000 3.255 3.255
3.255 0.000 3.255
3.255 3.255 0.000
Os Br V
1 2 1
direct
0.500 0.500 0.500
0.250 0.250 0.250
0.750 0.750 0.750
0.000 0.000 0.000

Record 4
PBE-GGA KAg4Au, optimized geometry; space group = Pmma (51); distance to the lowest polymorph of the same formula = 38 meV per atom
1.0
-0.016 -2.151 3.749
0.039 -7.158 -4.107
8.415 0.020 0.046
K Ag Au
2 8 2
direct
0.000 0.607 0.750
0.000 0.393 0.250
0.000 0.000 0.500
0.000 0.000 0.000
0.500 0.951 0.750
0.500 0.049 0.250
0.500 0.769 0.041
0.500 0.231 0.959
0.500 0.769 0.459
0.500 0.231 0.541
0.000 0.220 0.750
0.000 0.780 0.250

Record 5
PBE-GGA Nd8SbIr3I4, optimized geometry; energy relative to the elements, uncorrected = -0.952 eV/atom; space group = R-3m (166)
1.0
8.675 0.000 0.000
0.000 9.450 0.547
-4.337 -4.340 6.132
Nd Sb Ir I
8 1 3 4
direct
0.243 0.689 0.946
0.243 0.689 0.486
0.272 0.315 0.543
0.703 0.689 0.946
0.297 0.311 0.054
0.728 0.685 0.457
0.757 0.311 0.514
0.757 0.311 0.054
0.000 0.500 0.000
0.500 0.500 0.000
0.500 0.500 0.500
0.000 0.500 0.500
0.500 0.000 0.000
0.500 0.000 0.500
0.000 0.000 0.000
0.000 0.000 0.500

Record 6
PBE-GGA GeHSeF2, optimized geometry; space group = P4/mmm (123); final energy = -0.117 hartree per atom
1.0
-1.648 -3.042 2.141
5.063 -2.422 0.456
0.675 2.058 3.444
H Ge Se F
1 1 1 2
direct
0.500 0.500 0.500
0.000 0.500 0.000
0.000 0.000 0.000
0.000 0.000 0.500
0.500 0.000 0.000

Record 7
PBE-GGA RbAlO2, optimized geometry; energy relative to the elements, uncorrected = -2.350 eV/atom; space group = C2/m (12)
1.0
18.371 0.000 0.690
0.000 3.108 0.000
-6.344 0.000 4.383
O Al Rb
8 4 4
direct
0.890 0.000 0.854
0.110 0.000 0.146
0.610 0.500 0.646
0.390 0.500 0.354
0.074 0.500 0.405
0.926 0.500 0.595
0.426 0.000 0.095
0.574 0.000 0.905
0.458 0.500 0.269
0.542 0.500 0.731
0.042 0.000 0.231
0.958 0.000 0.769
0.184 0.000 0.909
0.816 0.000 0.091
0.316 0.500 0.591
0.684 0.500 0.409

Record 8
PBE-GGA La3CeN3, optimized geometry; energy relative to the elements, uncorrected = -0.879 eV/atom; space group = C2/m (12); distance to the lowest polymorph of the same formula = 202 meV per atom
1.0
-1.172 -2.051 -6.393
6.616 0.539 -1.095
-1.525 -6.051 2.512
La Ce N
6 2 6
direct
0.644 0.650 0.650
0.500 0.809 0.191
0.500 0.191 0.809
0.000 0.737 0.263
0.000 0.263 0.737
0.356 0.350 0.350
0.132 0.778 0.778
0.868 0.222 0.222
0.764 0.948 0.948
0.327 0.495 0.780
0.327 0.780 0.495
0.673 0.505 0.220
0.673 0.220 0.505
0.236 0.052 0.052

Record 9
PBE-GGA Si2TcSnN, optimized geometry; energy relative to the elements, uncorrected = 0.625 eV/atom; space group = P4/mmm (123)
1.0
-2.479 2.205 3.008
-3.184 -1.920 -1.216
0.791 -3.219 3.011
Si N Sn Tc
2 1 1 1
direct
0.000 0.000 0.500
0.500 0.000 0.000
0.000 0.000 0.000
0.500 0.500 0.500
0.000 0.500 0.000

Record 10
PBE-GGA Ac2HoGa3Ir4, optimized geometry; space group = P-4m2 (115); final energy = -0.237 hartree per atom
1.0
-1.630 -2.645 -3.053
-1.056 -2.899 3.076
-10.022 4.860 1.140
Ac Ho Ga Ir
2 1 3 4
direct
0.500 0.000 0.227
0.000 0.500 0.773
0.500 0.500 0.500
0.000 0.000 0.500
0.500 0.000 0.886
0.000 0.500 0.114
0.500 0.500 0.000
0.000 0.000 0.000
0.500 0.000 0.654
0.000 0.500 0.346

Record 11
PBE-GGA Pr3Bi5Rh6, optimized geometry; space group = Pmmn (59); final energy = -0.223 hartree per atom
1.0
4.500 0.000 0.000
0.000 10.209 0.000
0.000 0.000 13.897
Pr Bi Rh
6 10 12
direct
0.000 0.247 0.672
0.500 0.753 0.172
0.500 0.753 0.828
0.000 0.238 0.000
0.500 0.762 0.500
0.000 0.247 0.328
0.000 0.521 0.880
0.000 0.853 0.667
0.000 0.840 0.000
0.500 0.479 0.620
0.500 0.160 0.500
0.000 0.521 0.120
0.500 0.479 0.380
0.000 0.853 0.333
0.500 0.147 0.833
0.500 0.147 0.167
0.000 0.000 0.835
0.500 0.000 0.665
0.500 0.408 0.806
0.500 0.500 0.000
0.000 0.500 0.500
0.000 0.592 0.694
0.000 0.592 0.306
0.500 0.000 0.000
0.000 0.000 0.165
0.500 0.408 0.194
0.000 0.000 0.500
0.500 0.000 0.335

Record 12
PBE-GGA HoMgZnCu, optimized geometry; space group = F-43m (216); final energy = -0.116 hartree per atom
1.0
-1.092 2.588 -3.826
-1.120 -2.151 -4.079
-4.469 0.112 -1.593
Mg Zn Ho Cu
1 1 1 1
direct
0.500 0.500 0.500
0.250 0.250 0.250
0.000 0.000 0.000
0.750 0.750 0.750

Record 13
PBE-GGA HfMoAs, optimized geometry; space group = Pmma (51); final energy = -0.332 hartree per atom
1.0
3.520 0.000 0.000
0.000 7.031 0.000
0.000 0.000 12.612
Hf Mo As
6 6 6
direct
0.000 0.245 0.953
0.000 0.755 0.047
0.000 0.245 0.547
0.000 0.755 0.453
0.000 0.180 0.250
0.000 0.820 0.750
0.500 0.441 0.120
0.500 0.559 0.880
0.500 0.441 0.380
0.500 0.559 0.620
0.500 0.822 0.250
0.500 0.178 0.750
0.500 0.071 0.100
0.500 0.929 0.900
0.500 0.071 0.400
0.500 0.929 0.600
0.000 0.566 0.250
0.000 0.434 0.750

Record 14
PBE-GGA Ni2SeBr, optimized geometry; energy relative to the elements, uncorrected = 0.285 eV/atom; space group = Pmmm (47); distance to the lowest polymorph of the same formula = 425 meV per atom
1.0
3.407 0.000 0.000
0.000 7.342 0.000
0.000 0.000 3.394
Br Ni Se
1 2 1
direct
0.000 0.500 0.500
0.000 0.000 0.000
0.500 0.500 0.000
0.500 0.000 0.500

Record 15
PBE-GGA CdSbSe2, optimized geometry; energy relative to the elements, uncorrected = -0.124 eV/atom; space group = P2/m (10); distance to the lowest polymorph of the same formula = 143 meV per atom
1.0
-3.504 1.391 0.815
-1.484 -3.425 -0.535
1.760 0.094 7.411
Cd Sb Se
1 1 2
direct
0.500 0.250 0.250
0.500 0.750 0.750
0.000 0.822 0.028
0.000 0.678 0.472

Record 16
PBE-GGA La3Ni8Ag, optimized geometry; space group = R3m (160); final energy = -0.206 hartree per atom
1.0
-2.609 4.387 -0.074
-2.084 1.657 -4.355
-8.659 -2.173 0.325
La Ni Ag
3 8 1
direct
0.377 0.377 0.869
0.992 0.992 0.023
0.506 0.506 0.483
0.938 0.436 0.190
0.442 0.938 0.683
0.436 0.436 0.190
0.938 0.938 0.683
0.188 0.188 0.435
0.687 0.687 0.938
0.436 0.938 0.190
0.938 0.442 0.683
0.872 0.872 0.384

Record 17
PBE-GGA Sr4TlCu2BiO10, optimized geometry; energy relative to the elements, uncorrected = -1.669 eV/atom; space group = I4/mmm (139)
1.0
9.915 0.017 0.000
7.080 6.942 0.000
-8.497 -3.480 3.741
Sr Tl Cu Bi O
4 1 2 1 10
direct
0.352 0.852 0.500
0.852 0.352 0.500
0.148 0.648 0.500
0.648 0.148 0.500
0.500 0.500 0.000
0.753 0.753 0.000
0.247 0.247 0.000
0.000 0.000 0.000
0.000 0.000 0.500
0.500 0.500 0.500
0.000 0.500 0.000
0.500 0.000 0.000
0.880 0.880 0.000
0.386 0.386 0.000
0.614 0.614 0.000
0.120 0.120 0.000
0.000 0.500 0.500
0.500 0.000 0.500

Record 18
PBE-GGA AlPt2Pb, optimized geometry; space group = P4mm (99); final energy = -0.192 hartree per atom
1.0
-2.656 -2.271 0.959
1.470 -0.330 3.288
-3.085 4.374 1.817
Pb Al Pt
1 1 2
direct
0.500 0.500 0.786
0.000 0.000 0.430
0.000 0.000 0.984
0.500 0.500 0.300

Record 19
PBE-GGA Cd6In12Ag, optimized geometry; space group = R-3 (148); final energy = -0.078 hartree per atom
1.0
7.877 0.802 -0.224
-0.252 7.914 -0.224
0.702 0.802 7.849
Cd In Ag
6 12 1
direct
0.118 0.257 0.738
0.743 0.262 0.882
0.262 0.882 0.743
0.882 0.743 0.262
0.257 0.738 0.118
0.738 0.118 0.257
0.481 0.198 0.559
0.198 0.559 0.481
0.559 0.481 0.198
0.519 0.802 0.441
0.802 0.441 0.519
0.441 0.519 0.802
0.844 0.959 0.624
0.376 0.156 0.041
0.041 0.376 0.156
0.156 0.041 0.376
0.624 0.844 0.959
0.959 0.624 0.844
0.000 0.000 0.000